A plane-wave DFT calculation with PBE-GGA was carried out for Li2ReBr after structural relaxation.

Calculated values
uncorrected energy	-3.560	eV per atom
ΔE to the lowest computed polymorph	823	meV per atom
D(E_F)	0.4908	states/eV/atom
formation energy from raw total energies	0.9271	eV/atom

Cell: 6.8200 6.8200 6.8200 Å, 90.00 90.00 90.00°
Space group Fm-3m (No. 225)
Unique sites:
Li1 0.2500 0.2500 0.2500 [8 per cell]
Re1 0.0000 0.0000 0.0000 [4 per cell]
Br1 0.0000 0.0000 0.5000 [4 per cell]


A plane-wave DFT calculation with PBE-GGA was carried out for Nd8Tm2Al after structural relaxation.

Calculated values
uncorrected energy	-4.589	eV per atom
D(E_F)	1.3206	states/eV/atom

Cell: 17.8400 5.5262 8.0222 Å, 90.00 112.71 90.00°
Space group C2/m (No. 12)
Unique sites:
Nd1 0.0127 0.0000 0.2630 [4 per cell]
Nd2 0.1104 0.5000 0.9230 [4 per cell]
Nd3 0.1586 0.5000 0.4079 [4 per cell]
Nd4 0.1769 0.0000 0.7171 [4 per cell]
Tm1 0.1925 0.0000 0.1581 [4 per cell]
Al1 0.0000 0.5000 0.5000 [2 per cell]


A plane-wave DFT calculation with PBE-GGA was carried out for Cd5In4 after structural relaxation.

Calculated values
uncorrected energy	-1.700	eV per atom
ΔE to the lowest computed polymorph	0	meV per atom
D(E_F)	0.3458	states/eV/atom

Cell: 9.5977 9.5977 4.8388 Å, 90.00 90.00 90.00°
Space group I4/mmm (No. 139)
Unique sites:
Cd1 0.0000 0.0000 0.0000 [2 per cell]
Cd2 0.1644 0.1644 0.5000 [8 per cell]
In1 0.0000 0.3279 0.0000 [8 per cell]


A plane-wave DFT calculation with PBE-GGA was carried out for LiSmSnPt after structural relaxation.

Calculated values
uncorrected energy	-5.061	eV per atom

Cell: 6.8155 6.8155 6.8155 Å, 90.00 90.00 90.00°
Space group F-43m (No. 216)
Unique sites:
Li1 0.0000 0.0000 0.0000 [4 per cell]
Sm1 0.2500 0.2500 0.2500 [4 per cell]
Sn1 0.2500 0.2500 0.7500 [4 per cell]
Pt1 0.0000 0.0000 0.5000 [4 per cell]


A plane-wave DFT calculation with PBE-GGA was carried out for TeAs2BrF after structural relaxation.

Calculated values
uncorrected energy	-2.906	eV per atom
ΔE to the lowest computed polymorph	0	meV per atom
D(E_F)	1.0238	states/eV/atom
formation energy from raw total energies	0.2909	eV/atom

Cell: 4.4410 4.4410 5.7012 Å, 90.00 90.00 90.00°
Space group P4/mmm (No. 123)
Unique sites:
Te1 0.0000 0.0000 0.0000 [1 per cell]
As1 0.0000 0.5000 0.5000 [2 per cell]
Br1 0.5000 0.5000 0.0000 [1 per cell]
F1 0.5000 0.5000 0.5000 [1 per cell]


A plane-wave DFT calculation with PBE-GGA was carried out for BeTcSe2 after structural relaxation.

Calculated values
uncorrected energy	-5.470	eV per atom
D(E_F)	0.4716	states/eV/atom
formation energy from raw total energies	-0.2050	eV/atom

Cell: 3.3543 3.2096 7.4699 Å, 90.00 90.48 90.00°
Space group Pm (No. 6)
Unique sites:
Be1 0.0000 0.0000 0.0000 [1 per cell]
Tc1 0.4985 0.5000 0.9239 [1 per cell]
Se1 0.5037 0.0000 0.1902 [1 per cell]
Se2 0.9939 0.5000 0.6782 [1 per cell]


A plane-wave DFT calculation with PBE-GGA was carried out for CrCdCu2 after structural relaxation.

Calculated values
uncorrected energy	-4.108	eV per atom
D(E_F)	0.3330	states/eV/atom

Cell: 7.0564 7.0564 5.3854 Å, 90.00 90.00 90.00°
Space group I-42d (No. 122)
Unique sites:
Cr1 0.0000 0.0000 0.0000 [4 per cell]
Cd1 0.0000 0.0000 0.5000 [4 per cell]
Cu1 0.2402 0.2500 0.1250 [8 per cell]


A plane-wave DFT calculation with PBE-GGA was carried out for Li2CaOs after structural relaxation.

Calculated values
uncorrected energy	-3.698	eV per atom
ΔE to the lowest computed polymorph	233	meV per atom
D(E_F)	1.2614	states/eV/atom

Cell: 6.6446 6.6446 6.6446 Å, 90.00 90.00 90.00°
Space group F-43m (No. 216)
Unique sites:
Li1 0.0000 0.0000 0.0000 [4 per cell]
Li2 0.2500 0.2500 0.2500 [4 per cell]
Ca1 0.2500 0.2500 0.7500 [4 per cell]
Os1 0.0000 0.0000 0.5000 [4 per cell]


A plane-wave DFT calculation with PBE-GGA was carried out for ScTlCd after structural relaxation.

Calculated values
uncorrected energy	-3.326	eV per atom
D(E_F)	0.9895	states/eV/atom

Cell: 3.2218 5.7717 7.7108 Å, 86.98 89.99 89.98°
Space group P1 (No. 1)
Unique sites:
Sc1 0.0000 0.0000 0.0000 [1 per cell]
Sc2 0.9997 0.3830 0.6291 [1 per cell]
Tl1 0.4995 0.5071 0.9572 [1 per cell]
Tl2 0.5021 0.1864 0.3157 [1 per cell]
Cd1 0.4970 0.6866 0.3243 [1 per cell]
Cd2 0.5002 0.8954 0.6669 [1 per cell]


A plane-wave DFT calculation with PBE-GGA was carried out for CrOs2Au after structural relaxation.

Calculated values
uncorrected energy	-8.231	eV per atom
ΔE to the lowest computed polymorph	347	meV per atom
D(E_F)	1.3418	states/eV/atom

Cell: 2.7997 4.5800 9.3794 Å, 90.00 90.00 90.00°
Space group Cmm2 (No. 35)
Unique sites:
Cr1 0.0000 0.0000 0.0000 [2 per cell]
Os1 0.0000 0.0000 0.5314 [2 per cell]
Os2 0.0000 0.5000 0.7790 [2 per cell]
Au1 0.0000 0.5000 0.2548 [2 per cell]


A plane-wave DFT calculation with PBE-GGA was carried out for AlOs2W after structural relaxation.

Calculated values
uncorrected energy	-9.522	eV per atom
D(E_F)	0.7389	states/eV/atom

Cell: 2.9191 4.6262 8.8821 Å, 90.00 90.00 90.00°
Space group Cmm2 (No. 35)
Unique sites:
Al1 0.0000 0.0000 0.0000 [2 per cell]
Os1 0.0000 0.0000 0.5074 [2 per cell]
Os2 0.0000 0.5000 0.7657 [2 per cell]
W1 0.0000 0.5000 0.2561 [2 per cell]


A plane-wave DFT calculation with PBE-GGA was carried out for ErCuPb after structural relaxation.

Calculated values
uncorrected energy	-4.391	eV per atom
D(E_F)	0.3607	states/eV/atom

Cell: 4.6459 4.6459 3.5830 Å, 90.00 90.00 120.00°
Space group P-6m2 (No. 187)
Unique sites:
Er1 0.0000 0.0000 0.0000 [1 per cell]
Cu1 0.3333 0.6667 0.5000 [1 per cell]
Pb1 0.6667 0.3333 0.5000 [1 per cell]


A plane-wave DFT calculation with PBE-GGA was carried out for Nd4RhCBr2 after structural relaxation.

Calculated values
uncorrected energy	-5.761	eV per atom
D(E_F)	0.7397	states/eV/atom
formation energy from raw total energies	-0.8873	eV/atom

Cell: 7.1454 3.9413 7.8167 Å, 90.00 106.01 90.00°
Space group P2/m (No. 10)
Unique sites:
Nd1 0.2134 0.0000 0.1824 [2 per cell]
Nd2 0.2422 0.5000 0.8090 [2 per cell]
Rh1 0.5000 0.0000 0.0000 [1 per cell]
C1 0.0000 0.5000 0.0000 [1 per cell]
Br1 0.0000 0.0000 0.5000 [1 per cell]
Br2 0.5000 0.5000 0.5000 [1 per cell]


A plane-wave DFT calculation with PBE-GGA was carried out for BaAl3Tl after structural relaxation.

Calculated values
uncorrected energy	-1.858	eV per atom
ΔE to the lowest computed polymorph	792	meV per atom
D(E_F)	2.1817	states/eV/atom

Cell: 6.0798 6.0798 6.0798 Å, 90.00 90.00 90.00°
Space group Pm-3m (No. 221)
Unique sites:
Ba1 0.0000 0.0000 0.0000 [1 per cell]
Al1 0.0000 0.0000 0.5000 [3 per cell]
Tl1 0.5000 0.5000 0.5000 [1 per cell]


A plane-wave DFT calculation with PBE-GGA was carried out for ScCd3Sb after structural relaxation.

Calculated values
uncorrected energy	-2.014	eV per atom
ΔE to the lowest computed polymorph	0	meV per atom
D(E_F)	1.1769	states/eV/atom
formation energy from raw total energies	0.6263	eV/atom

Cell: 5.4809 5.4809 5.4809 Å, 90.00 90.00 90.00°
Space group Pm-3m (No. 221)
Unique sites:
Sc1 0.0000 0.0000 0.0000 [1 per cell]
Cd1 0.0000 0.5000 0.5000 [3 per cell]
Sb1 0.5000 0.5000 0.5000 [1 per cell]


A plane-wave DFT calculation with PBE-GGA was carried out for BiO2 after structural relaxation.

Calculated values
uncorrected energy	-5.548	eV per atom
ΔE to the lowest computed polymorph	47	meV per atom
D(E_F)	0.2554	states/eV/atom
formation energy from raw total energies	-0.9493	eV/atom

Cell: 6.1885 6.2228 21.6562 Å, 83.68 83.81 70.09°
Space group P1 (No. 1)
Unique sites:
Bi1 0.0000 0.0000 0.0000 [1 per cell]
Bi2 0.0038 0.5092 0.6264 [1 per cell]
Bi3 0.0306 0.5398 0.8791 [1 per cell]
Bi4 0.0856 0.0909 0.7511 [1 per cell]
Bi5 0.3598 0.3489 0.4848 [1 per cell]
Bi6 0.3999 0.8946 0.3666 [1 per cell]
Bi7 0.4337 0.4296 0.2455 [1 per cell]
Bi8 0.4670 0.9645 0.1224 [1 per cell]
Bi9 0.5037 0.4982 0.0011 [1 per cell]
Bi10 0.5418 0.0402 0.8779 [1 per cell]
Bi11 0.5526 0.0627 0.6355 [1 per cell]
Bi12 0.5858 0.5903 0.7510 [1 per cell]
Bi13 0.8722 0.8617 0.4898 [1 per cell]
Bi14 0.8951 0.3987 0.3670 [1 per cell]
Bi15 0.9324 0.9282 0.2442 [1 per cell]
Bi16 0.9655 0.4650 0.1228 [1 per cell]
O1 0.0701 0.0279 0.4225 [1 per cell]
O2 0.0758 0.6110 0.2028 [1 per cell]
O3 0.1265 0.0899 0.1732 [1 per cell]
O4 0.1488 0.6729 0.9563 [1 per cell]
O5 0.1682 0.6766 0.5464 [1 per cell]
O6 0.1877 0.1708 0.9289 [1 per cell]
O7 0.2194 0.2186 0.5773 [1 per cell]
O8 0.2399 0.7750 0.2966 [1 per cell]
O9 0.2536 0.3366 0.6945 [1 per cell]
O10 0.2797 0.2375 0.3258 [1 per cell]
O11 0.3138 0.8405 0.0507 [1 per cell]
O12 0.3463 0.8508 0.6856 [1 per cell]
O13 0.3478 0.3046 0.0794 [1 per cell]
O14 0.3945 0.3996 0.8402 [1 per cell]
O15 0.4206 0.9320 0.8024 [1 per cell]
O16 0.5147 0.5520 0.4067 [1 per cell]
O17 0.5598 0.0008 0.4375 [1 per cell]
O18 0.5844 0.6229 0.1637 [1 per cell]
O19 0.6208 0.0876 0.1927 [1 per cell]
O20 0.6709 0.6892 0.9253 [1 per cell]
O21 0.6814 0.1622 0.9510 [1 per cell]
O22 0.7081 0.1799 0.5284 [1 per cell]
O23 0.7128 0.7243 0.5731 [1 per cell]
O24 0.7366 0.7631 0.3131 [1 per cell]
O25 0.7927 0.2434 0.2862 [1 per cell]
O26 0.8000 0.3153 0.6786 [1 per cell]
O27 0.8064 0.8372 0.0706 [1 per cell]
O28 0.8304 0.7555 0.6938 [1 per cell]
O29 0.8505 0.3198 0.0426 [1 per cell]
O30 0.8950 0.8940 0.8346 [1 per cell]
O31 0.9072 0.4021 0.8101 [1 per cell]
O32 0.9994 0.5568 0.4430 [1 per cell]


A plane-wave DFT calculation with PBE-GGA was carried out for Tm5ZrSb6 after structural relaxation.

Calculated values
uncorrected energy	-5.622	eV per atom
D(E_F)	0.2164	states/eV/atom
formation energy from raw total energies	-0.9850	eV/atom

Cell: 7.4444 12.8854 7.4438 Å, 90.00 109.49 90.00°
Space group C2/m (No. 12)
Unique sites:
Tm1 0.0000 0.0000 0.0000 [2 per cell]
Tm2 0.0000 0.1655 0.5000 [4 per cell]
Tm3 0.0000 0.3303 0.0000 [4 per cell]
Zr1 0.0000 0.5000 0.5000 [2 per cell]
Sb1 0.2434 0.5000 0.2515 [4 per cell]
Sb2 0.2450 0.3363 0.7452 [8 per cell]


A plane-wave DFT calculation with PBE-GGA was carried out for ZrTcW2 after structural relaxation.

Calculated values
uncorrected energy	-11.211	eV per atom
ΔE to the lowest computed polymorph	77	meV per atom
D(E_F)	0.4036	states/eV/atom

Cell: 3.2193 4.6256 9.1019 Å, 90.00 90.00 90.00°
Space group Imm2 (No. 44)
Unique sites:
Zr1 0.0000 0.0000 0.0000 [2 per cell]
Tc1 0.0000 0.5000 0.2457 [2 per cell]
W1 0.0000 0.0000 0.5038 [2 per cell]
W2 0.0000 0.5000 0.7614 [2 per cell]


A plane-wave DFT calculation with PBE-GGA was carried out for PuScHgPb after structural relaxation.

Calculated values
uncorrected energy	-6.403	eV per atom
D(E_F)	2.6108	states/eV/atom

Cell: 7.4266 7.4266 7.4266 Å, 90.00 90.00 90.00°
Space group F-43m (No. 216)
Unique sites:
Pu1 0.0000 0.0000 0.0000 [4 per cell]
Sc1 0.0000 0.0000 0.5000 [4 per cell]
Hg1 0.2500 0.2500 0.2500 [4 per cell]
Pb1 0.2500 0.2500 0.7500 [4 per cell]


A plane-wave DFT calculation with PBE-GGA was carried out for Be2BiRh2 after structural relaxation.

Calculated values
uncorrected energy	-5.287	eV per atom
ΔE to the lowest computed polymorph	58	meV per atom
D(E_F)	0.4508	states/eV/atom

Cell: 7.0138 7.0138 2.9715 Å, 90.00 90.00 90.00°
Space group P4/mbm (No. 127)
Unique sites:
Be1 0.1245 0.3755 0.0000 [4 per cell]
Bi1 0.0000 0.0000 0.5000 [2 per cell]
Rh1 0.1470 0.6470 0.5000 [4 per cell]


A plane-wave DFT calculation with PBE-GGA was carried out for La3SnHg5 after structural relaxation.

Calculated values
uncorrected energy	-2.786	eV per atom
D(E_F)	0.6297	states/eV/atom

Cell: 9.3216 9.3216 6.6600 Å, 90.00 90.00 120.00°
Space group P6_3/mcm (No. 193)
Unique sites:
La1 0.0000 0.3226 0.2500 [6 per cell]
Sn1 0.0000 0.0000 0.0000 [2 per cell]
Hg1 0.0000 0.3467 0.7500 [6 per cell]
Hg2 0.3333 0.6667 0.0000 [4 per cell]


A plane-wave DFT calculation with PBE-GGA was carried out for CaZrGa2Tc after structural relaxation.

Calculated values
uncorrected energy	-4.871	eV per atom
D(E_F)	1.0773	states/eV/atom

Cell: 4.8435 4.8435 4.8915 Å, 90.00 90.00 90.00°
Space group P4/mmm (No. 123)
Unique sites:
Ca1 0.0000 0.0000 0.0000 [1 per cell]
Zr1 0.5000 0.5000 0.0000 [1 per cell]
Ga1 0.0000 0.5000 0.5000 [2 per cell]
Tc1 0.0000 0.0000 0.5000 [1 per cell]


A plane-wave DFT calculation with PBE-GGA was carried out for CsGeSbBr6 after structural relaxation.

Calculated values
uncorrected energy	-3.058	eV per atom
D(E_F)	0.0000	states/eV/atom
formation energy from raw total energies	-0.8773	eV/atom

Cell: 7.3543 7.3543 8.1871 Å, 90.00 90.00 120.00°
Space group P312 (No. 149)
Unique sites:
Cs1 0.0000 0.0000 0.0000 [1 per cell]
Ge1 0.6667 0.3333 0.5000 [1 per cell]
Sb1 0.3333 0.6667 0.5000 [1 per cell]
Br1 0.3767 0.0010 0.7024 [6 per cell]


A plane-wave DFT calculation with PBE-GGA was carried out for PrDy7Tm4 after structural relaxation.

Calculated values
uncorrected energy	-4.550	eV per atom
ΔE to the lowest computed polymorph	26	meV per atom
D(E_F)	1.4676	states/eV/atom

Cell: 3.5382 3.5382 34.6040 Å, 90.00 90.00 120.00°
Space group P-3m1 (No. 164)
Unique sites:
Pr1 0.0000 0.0000 0.0000 [1 per cell]
Dy1 0.0000 0.0000 0.2515 [2 per cell]
Dy2 0.0000 0.0000 0.5000 [1 per cell]
Dy3 0.3333 0.6667 0.6649 [2 per cell]
Dy4 0.3333 0.6667 0.9133 [2 per cell]
Tm1 0.3333 0.6667 0.1690 [2 per cell]
Tm2 0.3333 0.6667 0.4175 [2 per cell]